# 1
Computed, not measured: a PBEsol-optimized structure of TlCd2Hg at the meta-GGA SCAN level of DFT.

Results
* energy above the lowest structure with this stoichiometry: 0.007 eV/atom

Lattice parameters (Å, degrees): 3.302 3.302 10.103 80.60 80.60 60.00
Atoms (fractional coordinates):
Hg1 0.500 0.500 0.500
Cd1 0.755 0.755 0.736
Cd2 0.245 0.245 0.264
Tl1 0.000 0.000 0.000



# 2
Computed, not measured: a PBEsol-optimized structure of TlCdHg at the meta-GGA SCAN level of DFT.

Results
* energy above the lowest structure with this stoichiometry: 0.000 eV/atom

Lattice parameters (Å, degrees): 3.340 3.341 6.966 104.08 104.08 89.74
Atoms (fractional coordinates):
Cd1 0.991 0.991 0.982
Tl1 0.666 0.666 0.332
Hg1 0.343 0.343 0.687



# 3
Computed, not measured: a PBEsol-optimized structure of Tm2CdHg at the meta-GGA SCAN level of DFT.

Lattice parameters (Å, degrees): 5.115 5.115 5.115 60.00 60.00 60.00
Atoms (fractional coordinates):
Tm1 0.750 0.750 0.750
Tm2 0.250 0.250 0.250
Hg1 0.000 0.000 0.000
Cd1 0.500 0.500 0.500



| no. | uncorrected energy (eV/cell) | total magnetic moment (μB per formula unit) | energy of formation (eV/atom) |
| --- | --- | --- | --- |
| 1 | -201.2 | 0.0 | 0.040 |
| 2 | -170.9 | 0.0 | 0.021 |
| 3 | -204.5 | 0.0 | -0.562 |